## Mn2Be2O (PBE+U)

Data for a relaxed Mn2Be2O crystal.

Values from the calculation:
The total energy comes out at -19.477 eV/cell. As for the mass density: 4.366 g cm⁻³.

```
5
Lattice="-1.477 1.477 6.274 1.477 -1.477 6.274 1.477 1.477 -6.274" Properties=species:S:1:pos:R:3 pbc="T T T"
Mn 1.477 0.000 3.137
Mn 0.000 1.477 3.137
Be 0.000 0.000 1.173
Be 0.000 0.000 11.374
O 0.000 0.000 6.274
```